Model 1:
FeHg2Br after structural relaxation, computed with GGA-PBEsol.

Cell: 3.110 3.110 8.731 Å, 90.00 90.00 90.00°
Element x y z (fractional)
Fe 0.000 0.000 0.000
Hg 0.000 0.000 0.494
Hg 0.500 0.500 0.209
Br 0.500 0.500 0.835

Crystal system: tetragonal

---

Model 2:
FeHg2Br after structural relaxation, computed with GGA-PBEsol.

Cell: 5.455 9.141 3.334 Å, 90.00 90.00 90.00°
Element x y z (fractional)
Fe 0.000 0.000 0.000
Fe 0.500 0.500 0.000
Hg 0.250 0.250 0.500
Hg 0.250 0.750 0.500
Hg 0.750 0.250 0.500
Hg 0.750 0.750 0.500
Br 0.000 0.500 0.000
Br 0.500 0.000 0.000

Crystal system: orthorhombic

---

The least stable of them is model 2.

---

Model 1:
InFe2Br after structural relaxation, computed with GGA-PBEsol.

Cell: 3.019 4.355 5.257 Å, 90.00 90.00 90.00°
Element x y z (fractional)
In 0.000 0.000 0.000
Fe 0.000 0.500 0.500
Fe 0.500 0.500 0.000
Br 0.500 0.000 0.500

Crystal system: orthorhombic

---

Model 2:
InFe2Br after structural relaxation, computed with GGA-PBEsol.

Cell: 14.851 3.065 3.176 Å, 90.00 92.06 90.00°
Element x y z (fractional)
In 0.000 0.000 0.000
In 0.500 0.500 0.000
Fe 0.108 0.500 0.526
Fe 0.187 0.000 0.047
Fe 0.608 0.000 0.526
Fe 0.687 0.500 0.047
Br 0.313 0.500 0.193
Br 0.813 0.000 0.193

Crystal system: monoclinic

---

The least stable of them is model 1.

---

Model 1:
InFeBr2 after structural relaxation, computed with GGA-PBEsol.

Cell: 10.103 3.468 6.687 Å, 90.00 114.80 90.00°
Element x y z (fractional)
In 0.000 0.000 0.000
In 0.500 0.500 0.000
Fe 0.223 0.500 0.998
Fe 0.723 0.000 0.998
Br 0.169 0.000 0.702
Br 0.334 0.000 0.294
Br 0.669 0.500 0.702
Br 0.834 0.500 0.294

Crystal system: monoclinic

---

Model 2:
InFeBr2 after structural relaxation, computed with GGA-PBEsol.

Cell: 3.233 3.233 8.709 Å, 90.00 90.00 90.00°
Element x y z (fractional)
In 0.000 0.000 0.000
Fe 0.000 0.000 0.500
Br 0.500 0.500 0.318
Br 0.500 0.500 0.682

Crystal system: tetragonal

---

The least stable of them is model 2.

---

Model 1:
FeIr2Br after structural relaxation, computed with GGA-PBEsol.

Cell: 2.752 4.146 10.823 Å, 90.00 90.00 90.00°
Element x y z (fractional)
Fe 0.000 0.000 0.000
Fe 0.500 0.500 0.500
Ir 0.000 0.500 0.291
Ir 0.000 0.500 0.709
Ir 0.500 0.000 0.209
Ir 0.500 0.000 0.791
Br 0.000 0.000 0.500
Br 0.500 0.500 0.000

Crystal system: orthorhombic

---

Model 2:
FeIr2Br after structural relaxation, computed with GGA-PBEsol.

Cell: 2.871 4.542 4.604 Å, 90.00 90.41 90.00°
Element x y z (fractional)
Fe 0.000 0.000 0.000
Ir 0.243 0.500 0.242
Ir 0.757 0.500 0.758
Br 0.500 0.000 0.500

Crystal system: monoclinic

---

The least stable of them is model 2.

---

Model 1:
Li2FeBr after structural relaxation, computed with GGA-PBEsol.

Cell: 3.177 3.293 14.101 Å, 90.00 90.00 90.00°
Element x y z (fractional)
Li 0.000 0.000 0.000
Li 0.000 0.500 0.226
Li 0.500 0.000 0.726
Li 0.500 0.500 0.500
Fe 0.000 0.000 0.388
Fe 0.500 0.500 0.888
Br 0.000 0.500 0.647
Br 0.500 0.000 0.147

Crystal system: orthorhombic

---

Model 2:
Li2FeBr after structural relaxation, computed with GGA-PBEsol.

Cell: 6.551 6.551 6.551 Å, 90.00 90.00 90.00°
Element x y z (fractional)
Li 0.250 0.250 0.250
Li 0.250 0.250 0.750
Li 0.250 0.750 0.250
Li 0.250 0.750 0.750
Li 0.750 0.250 0.250
Li 0.750 0.250 0.750
Li 0.750 0.750 0.250
Li 0.750 0.750 0.750
Fe 0.000 0.000 0.000
Fe 0.000 0.500 0.500
Fe 0.500 0.000 0.500
Fe 0.500 0.500 0.000
Br 0.000 0.000 0.500
Br 0.000 0.500 0.000
Br 0.500 0.000 0.000
Br 0.500 0.500 0.500

Crystal system: cubic

---

The least stable of them is model 2.

---

Model 1:
FeMoBr2 after structural relaxation, computed with GGA-PBEsol.

Cell: 3.145 3.145 25.138 Å, 90.00 90.00 120.00°
Element x y z (fractional)
Fe 0.000 0.000 0.000
Fe 0.333 0.667 0.667
Fe 0.667 0.333 0.333
Mo 0.000 0.000 0.500
Mo 0.333 0.667 0.167
Mo 0.667 0.333 0.833
Br 0.000 0.000 0.093
Br 0.000 0.000 0.907
Br 0.333 0.667 0.574
Br 0.333 0.667 0.759
Br 0.667 0.333 0.241
Br 0.667 0.333 0.426

Crystal system: trigonal

---

Model 2:
FeMoBr2 after structural relaxation, computed with GGA-PBEsol.

Cell: 3.172 3.172 6.278 Å, 90.00 90.00 90.00°
Element x y z (fractional)
Fe 0.000 0.000 0.000
Mo 0.000 0.000 0.500
Br 0.500 0.500 0.247
Br 0.500 0.500 0.753

Crystal system: tetragonal

---

The least stable of them is model 2.

---

Model 1:
FeNiBr2 after structural relaxation, computed with GGA-PBEsol.

Cell: 3.385 3.507 13.362 Å, 90.00 90.00 90.00°
Element x y z (fractional)
Fe 0.000 0.000 0.000
Fe 0.500 0.500 0.500
Ni 0.000 0.500 0.621
Ni 0.500 0.000 0.121
Br 0.000 0.000 0.413
Br 0.000 0.500 0.159
Br 0.500 0.000 0.659
Br 0.500 0.500 0.913

Crystal system: orthorhombic

---

Model 2:
FeNiBr2 after structural relaxation, computed with GGA-PBEsol.

Cell: 3.308 3.308 6.740 Å, 90.00 90.00 90.00°
Element x y z (fractional)
Fe 0.000 0.000 0.000
Ni 0.500 0.500 0.155
Br 0.000 0.000 0.351
Br 0.500 0.500 0.796

Crystal system: tetragonal

---

The least stable of them is model 1.

---

Model 1:
FeOs3Br after structural relaxation, computed with GGA-PBEsol.

Cell: 4.472 4.472 4.472 Å, 90.00 90.00 90.00°
Element x y z (fractional)
Fe 0.000 0.000 0.000
Os 0.000 0.500 0.500
Os 0.500 0.000 0.500
Os 0.500 0.500 0.000
Br 0.500 0.500 0.500

Crystal system: cubic

---

Model 2:
FeOs3Br after structural relaxation, computed with GGA-PBEsol.

Cell: 4.424 4.424 4.424 Å, 90.00 90.00 90.00°
Element x y z (fractional)
Fe 0.000 0.000 0.000
Os 0.000 0.000 0.500
Os 0.000 0.500 0.000
Os 0.500 0.000 0.000
Br 0.500 0.500 0.500

Crystal system: cubic

---

The least stable of them is model 1.

---

Model 1:
Fe2OsBr after structural relaxation, computed with GGA-PBEsol.

Cell: 4.441 4.441 2.771 Å, 90.00 90.00 90.00°
Element x y z (fractional)
Fe 0.000 0.500 0.000
Fe 0.500 0.000 0.000
Os 0.000 0.000 0.500
Br 0.500 0.500 0.500

Crystal system: tetragonal

---

Model 2:
Fe2OsBr after structural relaxation, computed with GGA-PBEsol.

Cell: 5.264 7.628 2.794 Å, 90.00 90.00 90.00°
Element x y z (fractional)
Fe 0.250 0.250 0.000
Fe 0.250 0.750 0.000
Fe 0.750 0.250 0.000
Fe 0.750 0.750 0.000
Os 0.000 0.000 0.500
Os 0.500 0.500 0.500
Br 0.000 0.500 0.500
Br 0.500 0.000 0.500

Crystal system: orthorhombic

---

The least stable of them is model 1.

---

Model 1:
FeOsBr2 after structural relaxation, computed with GGA-PBEsol.

Cell: 3.279 3.279 7.183 Å, 90.00 90.00 90.00°
Element x y z (fractional)
Fe 0.000 0.000 0.000
Os 0.500 0.500 0.140
Br 0.000 0.000 0.382
Br 0.500 0.500 0.785

Crystal system: tetragonal

---

Model 2:
FeOsBr2 after structural relaxation, computed with GGA-PBEsol.

Cell: 3.133 3.133 6.397 Å, 90.00 90.00 90.00°
Element x y z (fractional)
Fe 0.000 0.000 0.000
Os 0.000 0.000 0.500
Br 0.500 0.500 0.241
Br 0.500 0.500 0.759

Crystal system: tetragonal

---

Model 3:
FeOsBr2 after structural relaxation, computed with GGA-PBEsol.

Cell: 3.059 3.059 23.614 Å, 90.00 90.00 120.00°
Element x y z (fractional)
Fe 0.000 0.000 0.000
Fe 0.333 0.667 0.667
Fe 0.667 0.333 0.333
Os 0.000 0.000 0.500
Os 0.333 0.667 0.167
Os 0.667 0.333 0.833
Br 0.000 0.000 0.257
Br 0.000 0.000 0.743
Br 0.333 0.667 0.410
Br 0.333 0.667 0.924
Br 0.667 0.333 0.076
Br 0.667 0.333 0.590

Crystal system: trigonal

---

The least stable of them is model 2.

---

Model 1:
Fe2PBr after structural relaxation, computed with GGA-PBEsol.

Cell: 2.958 2.958 6.253 Å, 90.00 90.00 90.00°
Element x y z (fractional)
Fe 0.000 0.000 0.183
Fe 0.000 0.000 0.817
P 0.500 0.500 0.000
Br 0.500 0.500 0.500

Crystal system: tetragonal

---

Model 2:
Fe2PBr after structural relaxation, computed with GGA-PBEsol.

Cell: 4.161 4.161 2.907 Å, 90.00 90.00 90.00°
Element x y z (fractional)
Fe 0.000 0.500 0.000
Fe 0.500 0.000 0.000
P 0.000 0.000 0.500
Br 0.500 0.500 0.500

Crystal system: tetragonal

---

The least stable of them is model 2.

---

Model 1:
FePtBr2 after structural relaxation, computed with GGA-PBEsol.

Cell: 3.156 3.156 6.986 Å, 90.00 90.00 90.00°
Element x y z (fractional)
Fe 0.000 0.000 0.000
Pt 0.000 0.000 0.500
Br 0.500 0.500 0.227
Br 0.500 0.500 0.773

Crystal system: tetragonal

---

Model 2:
FePtBr2 after structural relaxation, computed with GGA-PBEsol.

Cell: 3.083 5.958 8.222 Å, 90.00 90.00 90.00°
Element x y z (fractional)
Fe 0.000 0.000 0.000
Fe 0.500 0.500 0.000
Pt 0.000 0.000 0.500
Pt 0.500 0.500 0.500
Br 0.000 0.500 0.230
Br 0.000 0.500 0.770
Br 0.500 0.000 0.230
Br 0.500 0.000 0.770

Crystal system: orthorhombic

---

Model 3:
FePtBr2 after structural relaxation, computed with GGA-PBEsol.

Cell: 6.575 6.575 6.575 Å, 90.00 90.00 90.00°
Element x y z (fractional)
Fe 0.000 0.000 0.000
Fe 0.000 0.500 0.500
Fe 0.500 0.000 0.500
Fe 0.500 0.500 0.000
Pt 0.000 0.000 0.500
Pt 0.000 0.500 0.000
Pt 0.500 0.000 0.000
Pt 0.500 0.500 0.500
Br 0.250 0.250 0.250
Br 0.250 0.250 0.750
Br 0.250 0.750 0.250
Br 0.250 0.750 0.750
Br 0.750 0.250 0.250
Br 0.750 0.250 0.750
Br 0.750 0.750 0.250
Br 0.750 0.750 0.750

Crystal system: cubic

---

The least stable of them is model 3.